<i>
The following is a PBE-GGA calculation of a geometry-optimized Sc2BeTl structure, from Alexandria.

Cell lengths 4.1340, 4.1340, 9.5713 Å; angles 90.00, 90.00, 90.00 degrees
Space group I-4m2 (No. 119)
Unique sites:
Sc1 0.0000 0.0000 0.0000
Sc2 0.0000 0.5000 0.2500
Be1 0.0000 0.0000 0.5000
Tl1 0.0000 0.5000 0.7500

Computed properties:
Magnetization   0.0 μB per formula unit

=====

<ii>
The following is a PBE-GGA calculation of a geometry-optimized Sc2BeTl structure, from Alexandria.

Cell lengths 3.4463, 3.5685, 14.5812 Å; angles 90.00, 90.00, 90.00 degrees
Space group Immm (No. 71)
Unique sites:
Sc1 0.0000 0.0000 0.1783
Be1 0.0000 0.0000 0.0000
Tl1 0.0000 0.0000 0.5000

Computed properties:
Magnetization   0.6 μB per formula unit

=====

It is <ii> that is the least stable of them.

=====

<i>
The following is a PBE-GGA calculation of a geometry-optimized B2C structure, from Alexandria.

Cell lengths 3.4983, 4.7277, 5.5909 Å; angles 65.51, 78.09, 75.71 degrees
Space group P1 (No. 1)
Unique sites:
B1 0.0000 0.0000 0.0000
B2 0.0106 0.2707 0.3823
B3 0.2882 0.2592 0.6849
B4 0.4649 0.0578 0.2805
B5 0.6340 0.3717 0.0065
B6 0.6747 0.7246 0.5676
B7 0.7262 0.6424 0.1334
B8 0.9737 0.7682 0.8168
C1 0.0297 0.5756 0.4098
C2 0.2996 0.7987 0.2247
C3 0.3682 0.5289 0.7697
C4 0.6810 0.0586 0.5612

Computed properties:
Magnetization   0.0 μB per formula unit

=====

<ii>
The following is a PBE-GGA calculation of a geometry-optimized B2C structure, from Alexandria.

Cell lengths 9.1093, 2.6995, 7.4738 Å; angles 90.00, 116.38, 90.00 degrees
Space group Cm (No. 8)
Unique sites:
B1 0.0000 0.0000 0.0000
B2 0.0015 0.5000 0.1905
B3 0.0898 0.0000 0.3927
B4 0.1240 0.5000 0.8568
B5 0.1998 0.5000 0.4000
B6 0.2776 0.0000 0.6087
B7 0.3093 0.5000 0.8034
B8 0.4616 0.5000 0.5295
C1 0.1711 0.0000 0.9824
C2 0.3171 0.0000 0.1839
C3 0.3216 0.5000 0.2959
C4 0.4755 0.0000 0.6429

Computed properties:
Magnetization   0.0 μB per formula unit

=====

It is <ii> that is the least stable of them.

=====

<i>
The following is a PBE-GGA calculation of a geometry-optimized KHg2Pt structure, from Alexandria.

Cell lengths 3.2301, 4.3653, 7.9574 Å; angles 90.00, 90.00, 90.00 degrees
Space group Pmm2 (No. 25)
Unique sites:
K1 0.0000 0.0000 0.0000
Hg1 0.0000 0.0000 0.3993
Hg2 0.5000 0.5000 0.7061
Pt1 0.5000 0.5000 0.3485

Computed properties:
Magnetization   0.0 μB per formula unit

=====

<ii>
The following is a PBE-GGA calculation of a geometry-optimized KHg2Pt structure, from Alexandria.

Cell lengths 5.1978, 3.1749, 13.5614 Å; angles 90.00, 90.00, 90.00 degrees
Space group Amm2 (No. 38)
Unique sites:
K1 0.0000 0.0000 0.0000
Hg1 0.0000 0.0000 0.7170
Hg2 0.5000 0.0000 0.3493
Pt1 0.5000 0.0000 0.6721

Computed properties:
Magnetization   0.0 μB per formula unit

=====

It is <ii> that is the least stable of them.

=====

<i>
The following is a PBE-GGA calculation of a geometry-optimized KAs3 structure, from Alexandria.

Cell lengths 6.7468, 9.5958, 6.2906 Å; angles 90.00, 90.00, 90.00 degrees
Space group Pnma (No. 62)
Unique sites:
K1 0.0139 0.2500 0.1554
As1 0.0128 0.7500 0.3411
As2 0.2436 0.0503 0.7417

Computed properties:
Magnetization   0.0 μB per formula unit

=====

<ii>
The following is a PBE-GGA calculation of a geometry-optimized KAs3 structure, from Alexandria.

Cell lengths 3.9621, 3.9621, 27.5935 Å; angles 90.00, 90.00, 90.00 degrees
Space group I4/mmm (No. 139)
Unique sites:
K1 0.0000 0.0000 0.1439
As1 0.0000 0.0000 0.4306
As2 0.0000 0.5000 0.0000
As3 0.0000 0.5000 0.2500

Computed properties:
Magnetization   0.0 μB per formula unit

=====

It is <i> that is the least stable of them.

=====

<i>
The following is a PBE-GGA calculation of a geometry-optimized CdHgSe2 structure, from Alexandria.

Cell lengths 5.2691, 4.1136, 5.9360 Å; angles 90.00, 115.87, 90.00 degrees
Space group P2/m (No. 10)
Unique sites:
Cd1 0.0000 0.0000 0.0000
Hg1 0.5000 0.0000 0.5000
Se1 0.2584 0.5000 0.8486

Computed properties:
Magnetization   0.0 μB per formula unit

=====

<ii>
The following is a PBE-GGA calculation of a geometry-optimized CdHgSe2 structure, from Alexandria.

Cell lengths 4.2721, 4.2721, 6.9812 Å; angles 90.00, 90.00, 120.00 degrees
Space group P3m1 (No. 156)
Unique sites:
Cd1 0.0000 0.0000 0.0000
Hg1 0.3333 0.6667 0.4694
Se1 0.3333 0.6667 0.8474
Se2 0.6667 0.3333 0.2894

Computed properties:
Magnetization   0.0 μB per formula unit

=====

It is <i> that is the least stable of them.

=====

<i>
The following is a PBE-GGA calculation of a geometry-optimized Si2OsCl structure, from Alexandria.

Cell lengths 6.2701, 6.2701, 6.2701 Å; angles 90.00, 90.00, 90.00 degrees
Space group Fm-3m (No. 225)
Unique sites:
Si1 0.2500 0.2500 0.2500
Os1 0.0000 0.0000 0.0000
Cl1 0.0000 0.0000 0.5000

Computed properties:
Magnetization   1.0 μB per formula unit

=====

<ii>
The following is a PBE-GGA calculation of a geometry-optimized Si2OsCl structure, from Alexandria.

Cell lengths 3.0802, 5.1875, 8.0775 Å; angles 90.00, 90.00, 90.00 degrees
Space group Cmmm (No. 65)
Unique sites:
Si1 0.0000 0.0000 0.2313
Os1 0.0000 0.5000 0.0000
Cl1 0.0000 0.5000 0.5000

Computed properties:
Magnetization   0.0 μB per formula unit

=====

It is <i> that is the least stable of them.